# NiBrO PBE+U relaxed
# SG   Ima2, No. 46
# M_tot   1.1 μB per formula unit
# Density   4.70 g cm⁻³
# D(E_F)   0.787 states/eV/atom
# Final energy   -3.425 eV/atom
data_NiBrO
_space_group_name_H-M_alt 'P 1'
_space_group_IT_number 1
_cell_length_a 3.690
_cell_length_b 9.928
_cell_length_c 5.970
_cell_angle_alpha 90.00
_cell_angle_beta 90.00
_cell_angle_gamma 90.00
loop_
_space_group_symop_operation_xyz
'x,y,z'
loop_
_atom_site_label
_atom_site_type_symbol
_atom_site_fract_x
_atom_site_fract_y
_atom_site_fract_z
O1 O 0.750 0.920 0.108
O2 O 0.250 0.420 0.608
O3 O 0.750 0.580 0.608
O4 O 0.250 0.080 0.108
Br1 Br 0.750 0.147 0.636
Br2 Br 0.250 0.647 0.136
Br3 Br 0.750 0.353 0.136
Br4 Br 0.250 0.853 0.636
Ni1 Ni 0.250 0.888 0.068
Ni2 Ni 0.750 0.112 0.068
Ni3 Ni 0.250 0.612 0.568
Ni4 Ni 0.750 0.388 0.568